No. 1
Entry from Alexandria: a relaxed NiSn10Au4 crystal (PBE).

Lattice parameters (Å, degrees): 4.7866 4.7866 19.2354 82.85 82.85 60.00
Last column: nearest neighbours and their distance in Å.
Element x y z (fractional)
Sn 0.2530 0.2530 0.2410  4 Au 2.91-2.96
Sn 0.9540 0.9540 0.1380  1 Ni 2.63
Sn 0.1493 0.1493 0.5520  4 Au 2.93-2.96
Sn 0.7470 0.7470 0.7590  4 Au 2.91-2.96
Sn 0.8507 0.8507 0.4480  4 Au 2.93-2.96
Sn 0.5512 0.5512 0.3465  4 Au 2.92-2.93
Sn 0.6538 0.6538 0.0385  3 Ni 2.86, 1 Au 2.93, 3 Sn 3.13
Sn 0.4488 0.4488 0.6535  4 Au 2.92-2.93
Sn 0.3462 0.3462 0.9615  3 Ni 2.86, 1 Au 2.93, 3 Sn 3.13
Sn 0.0460 0.0460 0.8620  1 Ni 2.63
Au 0.7988 0.7988 0.6036  8 Sn 2.92-2.96
Au 0.2012 0.2012 0.3964  8 Sn 2.92-2.96
Au 0.6025 0.6025 0.1925  8 Sn 2.91-2.95
Au 0.3975 0.3975 0.8075  8 Sn 2.91-2.95
Ni 0.0000 0.0000 0.0000  8 Sn 2.63-2.86

Summary:
* raw total energy: -60.85 eV for the cell shown
* total moment: 0.00 μB per formula unit
* calculated volume: 377.7 Å³ per cell
* E_form: -1.935 eV/f.u.



No. 2
Entry from Alexandria: a relaxed LiPmP2 crystal (PBE).

Lattice parameters (Å, degrees): 3.5449 3.5449 5.7573 90.00 90.00 90.00
Last column: nearest neighbours and their distance in Å.
Element x y z (fractional)
P 0.0000 0.0000 0.6939  1 P 2.23
P 0.0000 0.0000 0.3061  1 P 2.23
Li 0.5000 0.5000 0.5000  8 P 2.74, 2 Pm 2.88
Pm 0.5000 0.5000 0.0000  2 Li 2.88, 8 P 3.06

Summary:
* raw total energy: -20.30 eV for the cell shown
* total moment: 0.00 μB per formula unit
* calculated volume: 72.3 Å³ per cell
* energy relative to the lowest polymorph listed for this composition: 107 meV per atom
* E_form: -2.820 eV/f.u.



No. 3
Entry from Alexandria: a relaxed CaAcAlGa crystal (PBE).

Lattice parameters (Å, degrees): 4.6478 4.3585 6.3593 90.00 111.43 90.00
Last column: nearest neighbours and their distance in Å.
Element x y z (fractional)
Ga 0.3309 0.0000 0.6618  2 Al 2.65
Ac 0.7496 0.5000 0.4991  4 Ga 3.33, 3 Al 3.40-3.44
Ca 0.0304 0.0000 0.0608  4 Al 3.30, 3 Ga 3.31-3.56
Al 0.4587 0.5000 0.9175  2 Ga 2.65

Summary:
* raw total energy: -14.39 eV for the cell shown
* total moment: 0.00 μB per formula unit
* calculated volume: 119.9 Å³ per cell
* energy relative to the lowest polymorph listed for this composition: 0 meV per atom
* E_form: -1.512 eV/f.u.



No. 4
Entry from Alexandria: a relaxed La2CeTl crystal (PBE).

Lattice parameters (Å, degrees): 5.6299 5.6299 5.6299 60.00 60.00 60.00
Last column: nearest neighbours and their distance in Å.
Element x y z (fractional)
Ce 0.0000 0.0000 0.0000  8 La 3.45
La 0.2500 0.2500 0.2500  4 Tl 3.45, 4 Ce 3.45
La 0.7500 0.7500 0.7500  4 Tl 3.45, 4 Ce 3.45
Tl 0.5000 0.5000 0.5000  8 La 3.45

Summary:
* raw total energy: -18.26 eV for the cell shown
* total moment: 2.98 μB per formula unit
* calculated volume: 126.2 Å³ per cell
* energy relative to the lowest polymorph listed for this composition: 155 meV per atom
* E_form: -0.106 eV/f.u.



No. 5
Entry from Alexandria: a relaxed LuHfTcPd crystal (PBE).

Lattice parameters (Å, degrees): 4.7100 4.7100 4.7100 60.00 60.00 60.00
Last column: nearest neighbours and their distance in Å.
Element x y z (fractional)
Hf 0.7500 0.7500 0.7500  4 Tc 2.88, 4 Pd 2.88
Tc 0.0000 0.0000 0.0000  4 Lu 2.88, 4 Hf 2.88
Pd 0.5000 0.5000 0.5000  4 Hf 2.88, 4 Lu 2.88
Lu 0.2500 0.2500 0.2500  4 Tc 2.88, 4 Pd 2.88

Summary:
* raw total energy: -32.33 eV for the cell shown
* total moment: 0.00 μB per formula unit
* calculated volume: 73.9 Å³ per cell
* E_form: -2.295 eV/f.u.



No. 6
Entry from Alexandria: a relaxed MgSnIr3 crystal (PBE).

Lattice parameters (Å, degrees): 4.5273 4.5273 4.5273 90.00 90.00 90.00
Last column: nearest neighbours and their distance in Å.
Element x y z (fractional)
Ir 0.0000 0.0000 0.5000  2 Mg 2.26
Ir 0.5000 0.0000 0.0000  2 Mg 2.26
Ir 0.0000 0.5000 0.0000  2 Mg 2.26
Mg 0.0000 0.0000 0.0000  6 Ir 2.26
Sn 0.5000 0.5000 0.5000  12 Ir 3.20

Summary:
* raw total energy: -25.95 eV for the cell shown
* total moment: 0.00 μB per formula unit
* calculated volume: 92.8 Å³ per cell
* energy relative to the lowest polymorph listed for this composition: 0 meV per atom
* E_form: 6.228 eV/f.u.



Please write out number 5 again, unchanged.
Entry from Alexandria: a relaxed LuHfTcPd crystal (PBE).

Lattice parameters (Å, degrees): 4.7100 4.7100 4.7100 60.00 60.00 60.00
Last column: nearest neighbours and their distance in Å.
Element x y z (fractional)
Hf 0.7500 0.7500 0.7500  4 Tc 2.88, 4 Pd 2.88
Tc 0.0000 0.0000 0.0000  4 Lu 2.88, 4 Hf 2.88
Pd 0.5000 0.5000 0.5000  4 Hf 2.88, 4 Lu 2.88
Lu 0.2500 0.2500 0.2500  4 Tc 2.88, 4 Pd 2.88

Summary:
* raw total energy: -32.33 eV for the cell shown
* total moment: 0.00 μB per formula unit
* calculated volume: 73.9 Å³ per cell
* E_form: -2.295 eV/f.u.



Q: Number 5 is which compound?
A: LuHfTcPd



Please write out number 2 again, unchanged.
Entry from Alexandria: a relaxed LiPmP2 crystal (PBE).

Lattice parameters (Å, degrees): 3.5449 3.5449 5.7573 90.00 90.00 90.00
Last column: nearest neighbours and their distance in Å.
Element x y z (fractional)
P 0.0000 0.0000 0.6939  1 P 2.23
P 0.0000 0.0000 0.3061  1 P 2.23
Li 0.5000 0.5000 0.5000  8 P 2.74, 2 Pm 2.88
Pm 0.5000 0.5000 0.0000  2 Li 2.88, 8 P 3.06

Summary:
* raw total energy: -20.30 eV for the cell shown
* total moment: 0.00 μB per formula unit
* calculated volume: 72.3 Å³ per cell
* energy relative to the lowest polymorph listed for this composition: 107 meV per atom
* E_form: -2.820 eV/f.u.